LaCuSiNi | PBE | relaxed

Lattice parameters (Å, degrees): 6.5995 6.5995 6.5995 90.00 90.00 90.00
Closest atoms and distances in Å follow each position.
Element x y z (fractional)
La1 0.0000 0.0000 0.0000  4 Cu 2.86, 4 Si 2.86
La2 0.0000 0.5000 0.5000  4 Cu 2.86, 4 Si 2.86
La3 0.5000 0.0000 0.5000  4 Cu 2.86, 4 Si 2.86
La4 0.5000 0.5000 0.0000  4 Cu 2.86, 4 Si 2.86
Cu1 0.2500 0.2500 0.2500  4 La 2.86, 4 Ni 2.86
Cu2 0.2500 0.7500 0.7500  4 La 2.86, 4 Ni 2.86
Cu3 0.7500 0.2500 0.7500  4 La 2.86, 4 Ni 2.86
Cu4 0.7500 0.7500 0.2500  4 La 2.86, 4 Ni 2.86
Si1 0.2500 0.2500 0.7500  4 La 2.86, 4 Ni 2.86
Si2 0.2500 0.7500 0.2500  4 La 2.86, 4 Ni 2.86
Si3 0.7500 0.2500 0.2500  4 La 2.86, 4 Ni 2.86
Si4 0.7500 0.7500 0.7500  4 La 2.86, 4 Ni 2.86
Ni1 0.0000 0.0000 0.5000  4 Si 2.86, 4 Cu 2.86
Ni2 0.0000 0.5000 0.0000  4 Si 2.86, 4 Cu 2.86
Ni3 0.5000 0.0000 0.0000  4 Si 2.86, 4 Cu 2.86
Ni4 0.5000 0.5000 0.5000  4 Si 2.86, 4 Cu 2.86

Values from the calculation:
Crystal system: cubic
Total DFT energy (no corrections) in eV/f.u.: -19.930
SG: F-43m

LaCuSiNi | PBE | relaxed

Lattice parameters (Å, degrees): 6.5731 6.5731 6.5731 90.00 90.00 90.00
Closest atoms and distances in Å follow each position.
Element x y z (fractional)
La1 0.0000 0.0000 0.0000  4 Si 2.85, 4 Ni 2.85
La2 0.0000 0.5000 0.5000  4 Si 2.85, 4 Ni 2.85
La3 0.5000 0.0000 0.5000  4 Si 2.85, 4 Ni 2.85
La4 0.5000 0.5000 0.0000  4 Si 2.85, 4 Ni 2.85
Cu1 0.0000 0.0000 0.5000  4 Ni 2.85, 4 Si 2.85
Cu2 0.0000 0.5000 0.0000  4 Ni 2.85, 4 Si 2.85
Cu3 0.5000 0.0000 0.0000  4 Ni 2.85, 4 Si 2.85
Cu4 0.5000 0.5000 0.5000  4 Ni 2.85, 4 Si 2.85
Si1 0.2500 0.2500 0.2500  4 La 2.85, 4 Cu 2.85
Si2 0.2500 0.7500 0.7500  4 La 2.85, 4 Cu 2.85
Si3 0.7500 0.2500 0.7500  4 La 2.85, 4 Cu 2.85
Si4 0.7500 0.7500 0.2500  4 La 2.85, 4 Cu 2.85
Ni1 0.2500 0.2500 0.7500  4 La 2.85, 4 Cu 2.85
Ni2 0.2500 0.7500 0.2500  4 La 2.85, 4 Cu 2.85
Ni3 0.7500 0.2500 0.2500  4 La 2.85, 4 Cu 2.85
Ni4 0.7500 0.7500 0.7500  4 Cu 2.85, 4 La 2.85

Values from the calculation:
Crystal system: cubic
Total DFT energy (no corrections) in eV/f.u.: -19.719
SG: F-43m

La2Zn4CuNi | PBE | relaxed

Lattice parameters (Å, degrees): 7.3837 4.1990 9.8067 90.00 90.00 90.00
Closest atoms and distances in Å follow each position.
Element x y z (fractional)
La1 0.0000 0.0000 0.0000  3 Cu 2.81-2.97, 2 Zn 3.14
La2 0.0000 0.5000 0.5000  3 Cu 2.81-2.97, 2 Zn 3.14
La3 0.5000 0.0000 0.1205  1 Ni 2.69
La4 0.5000 0.5000 0.6205  1 Ni 2.69
Zn1 0.1977 0.0000 0.7169  1 Ni 2.57, 2 Cu 2.65
Zn2 0.1977 0.5000 0.2169  1 Ni 2.57, 2 Cu 2.65
Zn3 0.3101 0.0000 0.4071  1 Cu 2.58, 2 Ni 2.60, 1 Zn 2.80
Zn4 0.3101 0.5000 0.9071  1 Cu 2.58, 2 Ni 2.60, 1 Zn 2.80
Zn5 0.6899 0.0000 0.4071  1 Cu 2.58, 2 Ni 2.60, 1 Zn 2.80
Zn6 0.6899 0.5000 0.9071  1 Cu 2.58, 2 Ni 2.60, 1 Zn 2.80
Zn7 0.8023 0.0000 0.7169  1 Ni 2.57, 2 Cu 2.65
Zn8 0.8023 0.5000 0.2169  1 Ni 2.57, 2 Cu 2.65
Cu1 0.0000 0.0000 0.2862  6 Zn 2.58-2.65, 1 La 2.81
Cu2 0.0000 0.5000 0.7862  6 Zn 2.58-2.65, 1 La 2.81
Ni1 0.5000 0.0000 0.8458  6 Zn 2.57-2.60, 1 La 2.69
Ni2 0.5000 0.5000 0.3458  6 Zn 2.57-2.60, 1 La 2.69

Values from the calculation:
Crystal system: orthorhombic
SG: Amm2
ΔE_f in eV per formula unit: -2.9